Arrangement a

Density functional theory data (GGA-PBE) for a relaxed structure of ScSN2Cl.

total moment = 0.49 Bohr magnetons per cell

```
data_ScSN2Cl
_chemical_formula_sum 'Sc1 S1 N2 Cl1'
_cell_length_a 3.883
_cell_length_b 3.883
_cell_length_c 4.533
_cell_angle_alpha 90.00
_cell_angle_beta 90.00
_cell_angle_gamma 90.00
_symmetry_space_group_name_H-M 'P 4/m m m'
_symmetry_Int_Tables_number 123
_symmetry_space_group_name_Hall '-P 4 2'
loop_
_atom_site_label
_atom_site_type_symbol
_atom_site_fract_x
_atom_site_fract_y
_atom_site_fract_z
Sc1 Sc 0.000 0.000 0.000
S1 S 0.500 0.500 0.000
N1 N 0.000 0.500 0.500
Cl1 Cl 0.500 0.500 0.500
```

***

Arrangement b

Density functional theory data (GGA-PBE) for a relaxed structure of ScSN2Cl.

total moment = 4.07 Bohr magnetons per cell

```
data_ScSN2Cl
_chemical_formula_sum 'Sc1 S1 N2 Cl1'
_cell_length_a 4.278
_cell_length_b 4.278
_cell_length_c 5.311
_cell_angle_alpha 90.00
_cell_angle_beta 90.00
_cell_angle_gamma 90.00
_symmetry_space_group_name_H-M 'P 4/m m m'
_symmetry_Int_Tables_number 123
_symmetry_space_group_name_Hall '-P 4 2'
loop_
_atom_site_label
_atom_site_type_symbol
_atom_site_fract_x
_atom_site_fract_y
_atom_site_fract_z
Sc1 Sc 0.000 0.000 0.000
S1 S 0.000 0.000 0.500
N1 N 0.000 0.500 0.000
Cl1 Cl 0.500 0.500 0.500
```

***

Which of them is most stable? Easy: arrangement b.

***

Arrangement a

Density functional theory data (GGA-PBE) for a relaxed structure of SnSN2Cl.

total moment = 3.05 Bohr magnetons per cell

```
data_SnSN2Cl
_chemical_formula_sum 'Sn1 S1 N2 Cl1'
_cell_length_a 4.140
_cell_length_b 4.140
_cell_length_c 5.535
_cell_angle_alpha 90.00
_cell_angle_beta 90.00
_cell_angle_gamma 90.00
_symmetry_space_group_name_H-M 'P 4/m m m'
_symmetry_Int_Tables_number 123
_symmetry_space_group_name_Hall '-P 4 2'
loop_
_atom_site_label
_atom_site_type_symbol
_atom_site_fract_x
_atom_site_fract_y
_atom_site_fract_z
Sn1 Sn 0.000 0.000 0.000
S1 S 0.000 0.000 0.500
N1 N 0.000 0.500 0.000
Cl1 Cl 0.500 0.500 0.500
```

***

Arrangement b

Density functional theory data (GGA-PBE) for a relaxed structure of SnSN2Cl.

total moment = 2.10 Bohr magnetons per cell

```
data_SnSN2Cl
_chemical_formula_sum 'Sn1 S1 N2 Cl1'
_cell_length_a 4.103
_cell_length_b 4.103
_cell_length_c 4.772
_cell_angle_alpha 90.00
_cell_angle_beta 90.00
_cell_angle_gamma 90.00
_symmetry_space_group_name_H-M 'P 4/m m m'
_symmetry_Int_Tables_number 123
_symmetry_space_group_name_Hall '-P 4 2'
loop_
_atom_site_label
_atom_site_type_symbol
_atom_site_fract_x
_atom_site_fract_y
_atom_site_fract_z
Sn1 Sn 0.000 0.000 0.000
S1 S 0.500 0.500 0.000
N1 N 0.000 0.500 0.500
Cl1 Cl 0.500 0.500 0.500
```

***

Which of them is most stable? Easy: arrangement a.

***

Arrangement a

Density functional theory data (GGA-PBE) for a relaxed structure of SnSNCl2.

total moment = 0.00 Bohr magnetons per cell

```
data_SnSNCl2
_chemical_formula_sum 'Sn1 S1 N1 Cl2'
_cell_length_a 4.385
_cell_length_b 4.385
_cell_length_c 4.730
_cell_angle_alpha 90.00
_cell_angle_beta 90.00
_cell_angle_gamma 90.00
_symmetry_space_group_name_H-M 'P 4/m m m'
_symmetry_Int_Tables_number 123
_symmetry_space_group_name_Hall '-P 4 2'
loop_
_atom_site_label
_atom_site_type_symbol
_atom_site_fract_x
_atom_site_fract_y
_atom_site_fract_z
Sn1 Sn 0.000 0.000 0.000
S1 S 0.500 0.500 0.000
N1 N 0.500 0.500 0.500
Cl1 Cl 0.000 0.500 0.500
```

***

Arrangement b

Density functional theory data (GGA-PBE) for a relaxed structure of SnSNCl2.

total moment = 3.54 Bohr magnetons per cell

```
data_SnSNCl2
_chemical_formula_sum 'Sn1 S1 N1 Cl2'
_cell_length_a 5.242
_cell_length_b 5.242
_cell_length_c 4.967
_cell_angle_alpha 90.00
_cell_angle_beta 90.00
_cell_angle_gamma 90.00
_symmetry_space_group_name_H-M 'P 4/m m m'
_symmetry_Int_Tables_number 123
_symmetry_space_group_name_Hall '-P 4 2'
loop_
_atom_site_label
_atom_site_type_symbol
_atom_site_fract_x
_atom_site_fract_y
_atom_site_fract_z
Sn1 Sn 0.000 0.000 0.000
S1 S 0.000 0.000 0.500
N1 N 0.500 0.500 0.500
Cl1 Cl 0.000 0.500 0.000
```

***

Which of them is most stable? Easy: arrangement a.

***

Arrangement a

Density functional theory data (GGA-PBE) for a relaxed structure of SrS2NCl.

total moment = 6.00 Bohr magnetons per cell

```
data_SrS2NCl
_chemical_formula_sum 'Sr1 S2 N1 Cl1'
_cell_length_a 6.029
_cell_length_b 6.029
_cell_length_c 5.643
_cell_angle_alpha 90.00
_cell_angle_beta 90.00
_cell_angle_gamma 90.00
_symmetry_space_group_name_H-M 'P 4/m m m'
_symmetry_Int_Tables_number 123
_symmetry_space_group_name_Hall '-P 4 2'
loop_
_atom_site_label
_atom_site_type_symbol
_atom_site_fract_x
_atom_site_fract_y
_atom_site_fract_z
Sr1 Sr 0.000 0.000 0.000
S1 S 0.000 0.500 0.000
N1 N 0.500 0.500 0.500
Cl1 Cl 0.000 0.000 0.500
```

***

Arrangement b

Density functional theory data (GGA-PBE) for a relaxed structure of SrS2NCl.

total moment = 2.05 Bohr magnetons per cell

```
data_SrS2NCl
_chemical_formula_sum 'Sr1 S2 N1 Cl1'
_cell_length_a 5.005
_cell_length_b 5.005
_cell_length_c 4.144
_cell_angle_alpha 90.00
_cell_angle_beta 90.00
_cell_angle_gamma 90.00
_symmetry_space_group_name_H-M 'P 4/m m m'
_symmetry_Int_Tables_number 123
_symmetry_space_group_name_Hall '-P 4 2'
loop_
_atom_site_label
_atom_site_type_symbol
_atom_site_fract_x
_atom_site_fract_y
_atom_site_fract_z
Sr1 Sr 0.000 0.000 0.000
S1 S 0.000 0.500 0.500
N1 N 0.500 0.500 0.000
Cl1 Cl 0.500 0.500 0.500
```

***

Which of them is most stable? Easy: arrangement b.

***

Arrangement a

Density functional theory data (GGA-PBE) for a relaxed structure of SrS2NCl.

total moment = 6.00 Bohr magnetons per cell

```
data_SrS2NCl
_chemical_formula_sum 'Sr1 S2 N1 Cl1'
_cell_length_a 5.901
_cell_length_b 5.901
_cell_length_c 5.033
_cell_angle_alpha 90.00
_cell_angle_beta 90.00
_cell_angle_gamma 90.00
_symmetry_space_group_name_H-M 'P 4/m m m'
_symmetry_Int_Tables_number 123
_symmetry_space_group_name_Hall '-P 4 2'
loop_
_atom_site_label
_atom_site_type_symbol
_atom_site_fract_x
_atom_site_fract_y
_atom_site_fract_z
Sr1 Sr 0.000 0.000 0.000
S1 S 0.000 0.500 0.000
N1 N 0.000 0.000 0.500
Cl1 Cl 0.500 0.500 0.500
```

***

Arrangement b

Density functional theory data (GGA-PBE) for a relaxed structure of SrS2NCl.

total moment = 0.65 Bohr magnetons per cell

```
data_SrS2NCl
_chemical_formula_sum 'Sr1 S2 N1 Cl1'
_cell_length_a 4.062
_cell_length_b 4.062
_cell_length_c 5.926
_cell_angle_alpha 90.00
_cell_angle_beta 90.00
_cell_angle_gamma 90.00
_symmetry_space_group_name_H-M 'P 4/m m m'
_symmetry_Int_Tables_number 123
_symmetry_space_group_name_Hall '-P 4 2'
loop_
_atom_site_label
_atom_site_type_symbol
_atom_site_fract_x
_atom_site_fract_y
_atom_site_fract_z
Sr1 Sr 0.000 0.000 0.000
S1 S 0.000 0.500 0.500
N1 N 0.500 0.500 0.500
Cl1 Cl 0.500 0.500 0.000
```

***

Which of them is most stable? Easy: arrangement b.

***

Arrangement a

Density functional theory data (GGA-PBE) for a relaxed structure of TcS2NCl.

total moment = 0.01 Bohr magnetons per cell

```
data_TcS2NCl
_chemical_formula_sum 'Tc1 S2 N1 Cl1'
_cell_length_a 4.144
_cell_length_b 4.144
_cell_length_c 4.012
_cell_angle_alpha 90.00
_cell_angle_beta 90.00
_cell_angle_gamma 90.00
_symmetry_space_group_name_H-M 'P 4/m m m'
_symmetry_Int_Tables_number 123
_symmetry_space_group_name_Hall '-P 4 2'
loop_
_atom_site_label
_atom_site_type_symbol
_atom_site_fract_x
_atom_site_fract_y
_atom_site_fract_z
Tc1 Tc 0.000 0.000 0.000
S1 S 0.000 0.500 0.500
N1 N 0.500 0.500 0.500
Cl1 Cl 0.500 0.500 0.000
```

***

Arrangement b

Density functional theory data (GGA-PBE) for a relaxed structure of TcS2NCl.

total moment = 2.91 Bohr magnetons per cell

```
data_TcS2NCl
_chemical_formula_sum 'Tc1 S2 N1 Cl1'
_cell_length_a 4.796
_cell_length_b 4.796
_cell_length_c 3.328
_cell_angle_alpha 90.00
_cell_angle_beta 90.00
_cell_angle_gamma 90.00
_symmetry_space_group_name_H-M 'P 4/m m m'
_symmetry_Int_Tables_number 123
_symmetry_space_group_name_Hall '-P 4 2'
loop_
_atom_site_label
_atom_site_type_symbol
_atom_site_fract_x
_atom_site_fract_y
_atom_site_fract_z
Tc1 Tc 0.000 0.000 0.000
S1 S 0.000 0.500 0.500
N1 N 0.500 0.500 0.000
Cl1 Cl 0.500 0.500 0.500
```

***

Which of them is most stable? Easy: arrangement a.

***

Arrangement a

Density functional theory data (GGA-PBE) for a relaxed structure of TcSNCl2.

total moment = 2.63 Bohr magnetons per cell

```
data_TcSNCl2
_chemical_formula_sum 'Tc1 S1 N1 Cl2'
_cell_length_a 4.924
_cell_length_b 4.924
_cell_length_c 4.480
_cell_angle_alpha 90.00
_cell_angle_beta 90.00
_cell_angle_gamma 90.00
_symmetry_space_group_name_H-M 'P 4/m m m'
_symmetry_Int_Tables_number 123
_symmetry_space_group_name_Hall '-P 4 2'
loop_
_atom_site_label
_atom_site_type_symbol
_atom_site_fract_x
_atom_site_fract_y
_atom_site_fract_z
Tc1 Tc 0.000 0.000 0.000
S1 S 0.000 0.000 0.500
N1 N 0.500 0.500 0.500
Cl1 Cl 0.000 0.500 0.000
```

***

Arrangement b

Density functional theory data (GGA-PBE) for a relaxed structure of TcSNCl2.

total moment = 4.47 Bohr magnetons per cell

```
data_TcSNCl2
_chemical_formula_sum 'Tc1 S1 N1 Cl2'
_cell_length_a 4.184
_cell_length_b 4.184
_cell_length_c 4.826
_cell_angle_alpha 90.00
_cell_angle_beta 90.00
_cell_angle_gamma 90.00
_symmetry_space_group_name_H-M 'P 4/m m m'
_symmetry_Int_Tables_number 123
_symmetry_space_group_name_Hall '-P 4 2'
loop_
_atom_site_label
_atom_site_type_symbol
_atom_site_fract_x
_atom_site_fract_y
_atom_site_fract_z
Tc1 Tc 0.000 0.000 0.000
S1 S 0.500 0.500 0.000
N1 N 0.500 0.500 0.500
Cl1 Cl 0.000 0.500 0.500
```

***

Which of them is most stable? Easy: arrangement a.

***

Arrangement a

Density functional theory data (GGA-PBE) for a relaxed structure of TeSN2Cl.

total moment = 0.32 Bohr magnetons per cell

```
data_TeSN2Cl
_chemical_formula_sum 'Te1 S1 N2 Cl1'
_cell_length_a 3.892
_cell_length_b 3.892
_cell_length_c 5.922
_cell_angle_alpha 90.00
_cell_angle_beta 90.00
_cell_angle_gamma 90.00
_symmetry_space_group_name_H-M 'P 4/m m m'
_symmetry_Int_Tables_number 123
_symmetry_space_group_name_Hall '-P 4 2'
loop_
_atom_site_label
_atom_site_type_symbol
_atom_site_fract_x
_atom_site_fract_y
_atom_site_fract_z
Te1 Te 0.000 0.000 0.000
S1 S 0.000 0.000 0.500
N1 N 0.000 0.500 0.000
Cl1 Cl 0.500 0.500 0.500
```

***

Arrangement b

Density functional theory data (GGA-PBE) for a relaxed structure of TeSN2Cl.

total moment = 0.14 Bohr magnetons per cell

```
data_TeSN2Cl
_chemical_formula_sum 'Te1 S1 N2 Cl1'
_cell_length_a 4.012
_cell_length_b 4.012
_cell_length_c 4.629
_cell_angle_alpha 90.00
_cell_angle_beta 90.00
_cell_angle_gamma 90.00
_symmetry_space_group_name_H-M 'P 4/m m m'
_symmetry_Int_Tables_number 123
_symmetry_space_group_name_Hall '-P 4 2'
loop_
_atom_site_label
_atom_site_type_symbol
_atom_site_fract_x
_atom_site_fract_y
_atom_site_fract_z
Te1 Te 0.000 0.000 0.000
S1 S 0.500 0.500 0.000
N1 N 0.000 0.500 0.500
Cl1 Cl 0.500 0.500 0.500
```

***

Which of them is most stable? Easy: arrangement a.